Record 1
The following is a PBE-GGA calculation of TmSnS2 after structural relaxation, from Alexandria via LeMat-Bulk.

Results
D(E_F) in states/eV/atom: 0.251
E_form (uncorrected) in eV per atom: -1.274

a = 3.8397 Å, b = 3.8397 Å, c = 8.7820 Å
α = 77.37°, β = 77.37°, γ = 60.00°
Last column: nearest neighbours and their distance in Å.
Fractional coordinates of all 4 atoms:
S1 0.1079 0.1079 0.6763  3 Tm 2.68, 1 Sn 2.75
S2 0.8921 0.8921 0.3237  3 Tm 2.68, 1 Sn 2.75
Tm1 0.5000 0.5000 0.5000  6 S 2.68
Sn1 0.0000 0.0000 0.0000  2 S 2.75

=====

Record 2
The following is a PBE-GGA calculation of TbCe3Pr2N6 after structural relaxation, from Alexandria via LeMat-Bulk.

Results
D(E_F) in states/eV/atom: 0.631
E_form (uncorrected) in eV per atom: -1.469

a = 6.2286 Å, b = 6.2286 Å, c = 6.2130 Å
α = 99.61°, β = 99.61°, γ = 119.99°
Last column: nearest neighbours and their distance in Å.
Fractional coordinates of all 12 atoms:
Tb1 0.0000 0.0000 0.0000  6 N 2.53
Ce1 0.1657 0.8343 0.5000  6 N 2.46-2.56
Ce2 0.8343 0.1657 0.5000  6 N 2.46-2.56
Ce3 0.5000 0.5000 0.5000  6 N 2.47-2.55
Pr1 0.3333 0.6667 0.0000  6 N 2.61-2.62
Pr2 0.6667 0.3333 0.0000  6 N 2.61-2.62
N1 0.9123 0.5900 0.7368  3 Ce 2.47-2.56, 1 Tb 2.53, 2 Pr 2.61
N2 0.7655 0.7655 0.2639  3 Ce 2.46-2.55, 1 Tb 2.53, 2 Pr 2.62
N3 0.0877 0.4100 0.2632  3 Ce 2.47-2.56, 1 Tb 2.53, 2 Pr 2.61
N4 0.5900 0.9123 0.7368  3 Ce 2.47-2.56, 1 Tb 2.53, 2 Pr 2.61
N5 0.2345 0.2345 0.7361  3 Ce 2.46-2.55, 1 Tb 2.53, 2 Pr 2.62
N6 0.4100 0.0877 0.2632  3 Ce 2.47-2.56, 1 Tb 2.53, 2 Pr 2.61

=====

Record 3
The following is a PBE-GGA calculation of VNiAs after structural relaxation, from Alexandria via LeMat-Bulk.

Results
Energy relative to the elements in eV/atom: -0.3921
D(E_F) in states/eV/atom: 1.028

a = 3.7183 Å, b = 6.0778 Å, c = 10.5710 Å
α = 89.52°, β = 90.00°, γ = 90.00°
Last column: nearest neighbours and their distance in Å.
Fractional coordinates of all 18 atoms:
V1 0.7500 0.5279 0.3813  5 As 2.56-2.64, 5 Ni 2.81-2.86
V2 0.2500 0.9704 0.7112  5 As 2.53-2.65, 5 Ni 2.77-2.83
V3 0.7500 0.0296 0.2888  5 As 2.53-2.65, 5 Ni 2.77-2.83
V4 0.7500 0.6584 0.0860  5 As 2.49-2.64, 3 Ni 2.77-2.78
V5 0.2500 0.4721 0.6187  5 As 2.56-2.64, 5 Ni 2.81-2.86
V6 0.2500 0.3416 0.9140  5 As 2.49-2.64, 3 Ni 2.77-2.78
Ni1 0.2500 0.9966 0.0880  4 As 2.32-2.41, 1 Ni 2.58
Ni2 0.2500 0.8534 0.4583  4 As 2.31-2.41
Ni3 0.7500 0.6327 0.7950  4 As 2.30-2.37, 1 Ni 2.58
Ni4 0.7500 0.1466 0.5417  4 As 2.31-2.41
Ni5 0.2500 0.3673 0.2050  4 As 2.30-2.37, 1 Ni 2.58
Ni6 0.7500 0.0034 0.9120  4 As 2.32-2.41, 1 Ni 2.58
As1 0.2500 0.7510 0.9160  5 Ni 2.36-2.41, 4 V 2.49-2.64
As2 0.7500 0.2625 0.7494  3 Ni 2.30-2.32
As3 0.7500 0.7568 0.5834  4 Ni 2.35-2.41, 3 V 2.56-2.57
As4 0.7500 0.2490 0.0840  5 Ni 2.36-2.41, 4 V 2.49-2.64
As5 0.2500 0.2432 0.4166  4 Ni 2.35-2.41, 3 V 2.56-2.57
As6 0.2500 0.7375 0.2506  3 Ni 2.30-2.32

=====

Calculated total energy list, top to bottom, in eV/atom: -5.456, -8.297, -6.909